(1)
DFT (PBE) results for an optimized crystal structure of CaSnHg4.

Calculated values
- Energy of formation from the pure elements: -232 meV/atom
- SG: No. 10
- DOS(E_F): 2.7 states/eV/cell
- Magnetic moment: 0.0 μB/f.u.

abc: 4.967 4.959 6.683
angles: 90.00 68.71 90.00
Atoms (fractional coordinates):
Hg  0.326  0.500  0.846
Hg  0.835  0.000  0.832
Hg  0.165  0.000  0.168
Hg  0.674  0.500  0.154
Ca  0.000  0.500  0.500
Sn  0.500  0.000  0.500

=====

(2)
DFT (PBE) results for an optimized crystal structure of CaSn2Hg.

Calculated values
- Energy of formation from the pure elements: 85 meV/atom
- SG: No. 166
- DOS(E_F): 1.8 states/eV/cell
- Magnetic moment: 0.0 μB/f.u.

abc: 3.572 3.572 11.200
angles: 80.82 80.82 60.00
Atoms (fractional coordinates):
Sn  0.096  0.096  0.713
Sn  0.904  0.904  0.287
Hg  0.500  0.500  0.500
Ca  0.000  0.000  0.000

=====

Calculated total energy (computed, eV/atom): -1.434; -2.492